Entry from Alexandria: a geometry-optimized SeCl3F structure (PBE-GGA).

E above lowest polymorph: 1403 meV per atom

Lattice parameters (Å, degrees): 4.6818 4.6818 4.6818 90.00 90.00 90.00
Last column: magnetic moment on the atom in μB.
Positions (direct):
1 Se 0.5000 0.5000 0.5000  0.55
2 F 0.0000 0.0000 0.0000  0.04
3 Cl 0.5000 0.0000 0.0000  0.10
4 Cl 0.0000 0.0000 0.5000  0.07
5 Cl 0.0000 0.5000 0.0000  0.09

Entry from Alexandria: a geometry-optimized Se2Cl3F2 structure (PBE-GGA).

Lattice parameters (Å, degrees): 3.8189 9.5570 5.8649 77.20 113.19 79.14
Positions (direct):
1 Cl 0.2048 0.3488 0.8702
2 Cl 0.0000 0.0000 0.0000
3 Cl 0.7952 0.6512 0.1298
4 Se 0.6141 0.2493 0.6661
5 Se 0.3859 0.7507 0.3339
6 F 0.8076 0.8196 0.4972
7 F 0.1924 0.1804 0.5028

Entry from Alexandria: a geometry-optimized Sr2SeCl2F structure (PBE-GGA).

Lattice parameters (Å, degrees): 5.5263 7.7989 8.5649 117.08 108.82 90.00
Positions (direct):
1 Sr 0.3890 0.5761 0.7780
2 Sr 0.8890 0.2020 0.7780
3 Sr 0.6110 0.4239 0.2220
4 Sr 0.1110 0.7980 0.2220
5 Se 0.2500 0.0000 0.0000
6 Se 0.7500 0.0000 0.0000
7 F 0.7500 0.5000 0.0000
8 F 0.2500 0.5000 0.0000
9 Cl 0.6934 0.8530 0.3868
10 Cl 0.1934 0.5338 0.3868
11 Cl 0.3066 0.1470 0.6132
12 Cl 0.8066 0.4662 0.6132

Entry from Alexandria: a geometry-optimized Te2SeClF structure (PBE-GGA).

Lattice parameters (Å, degrees): 4.7732 5.1437 4.7732 90.00 90.00 90.00
Positions (direct):
1 Cl 0.0000 0.5000 0.0000
2 F 0.0000 0.0000 0.0000
3 Te 0.5000 0.0000 0.0000
4 Te 0.0000 0.0000 0.5000
5 Se 0.5000 0.5000 0.5000

Entry from Alexandria: a geometry-optimized Tl4SeClF2 structure (PBE-GGA).

Lattice parameters (Å, degrees): 8.4976 8.4976 8.6341 120.53 120.53 90.92
Positions (direct):
1 F 0.5000 0.0000 0.5000
2 F 0.0000 0.0000 0.5000
3 F 0.5000 0.0000 0.0000
4 F 0.5000 0.5000 0.0000
5 Tl 0.2634 0.7474 0.0053
6 Tl 0.7526 0.2366 0.4947
7 Tl 0.7288 0.7712 0.0318
8 Tl 0.2712 0.2288 0.5318
9 Tl 0.7288 0.7712 0.4682
10 Tl 0.7366 0.2526 0.9947
11 Tl 0.2474 0.7634 0.5053
12 Tl 0.2712 0.2288 0.9682
13 Se 0.0000 0.5000 0.0000
14 Se 0.0000 0.5000 0.5000
15 Cl 0.5000 0.5000 0.5000
16 Cl 0.0000 0.0000 0.0000

no.,formation energy without anion corrections (eV per atom)
1,0.750
2,-0.548
3,-2.548
4,0.242
5,-1.086